Material: CaLa2As
Method: DFT, PBE
State: optimized geometry

The structure in extended XYZ format:
```
4
Lattice="4.0592 0.0000 0.0000 0.0000 4.3528 -0.0130 0.0000 2.1947 8.0064" Properties=species:S:1:pos:R:3 pbc="T T T"
La 0.0000 4.0821 0.2890
La 2.0296 1.9092 2.6748
Ca 2.0296 4.0950 5.6862
As 0.0000 4.0879 3.3270
```

Calculated values
Formation energy = -606 meV per atom
Density of states at the Fermi level = 1.4462 states/eV per atom
Crystal system = orthorhombic
Spin magnetization = 0.27 μB per cell